No. 1
Sr4PuTi3O12 PBE optimized geometry; uncorrected formation energy = -3035 meV per atom; symmetry = No. 229
1.0
7.015 0.000 0.000
-2.338 6.614 0.000
-2.338 -3.307 5.728
Sr Pu Ti O
4 1 3 12
Cartesian
1.169 1.653 2.864
-1.169 -1.653 2.864
3.507 0.000 0.000
-1.169 3.307 0.000
0.000 0.000 0.000
2.338 -1.653 2.864
2.338 3.307 0.000
-2.338 1.653 2.864
-1.169 0.827 4.296
3.449 -2.439 4.225
1.227 -0.868 1.503
3.507 2.480 1.432
3.449 4.878 0.000
1.227 1.735 0.000
3.507 0.000 2.864
-1.169 3.307 2.864
1.169 -0.827 4.296
-3.449 2.439 4.225
1.169 4.134 1.432
-1.227 0.868 1.503



No. 2
LaTeRu2 PBE optimized geometry; energy relative to the lowest polymorph listed for this composition = 236 meV per atom; uncorrected formation energy = -93 meV per atom; symmetry = No. 123
1.0
3.761 0.000 0.000
0.000 4.577 0.000
0.000 0.000 4.577
La Ru Te
1 2 1
Cartesian
1.880 0.000 2.289
0.000 0.000 0.000
0.000 2.289 2.289
1.880 2.289 0.000



No. 3
NpGa2PtO8 PBE optimized geometry; uncorrected formation energy = -1736 meV per atom; symmetry = No. 10
1.0
-0.749 -3.095 3.576
3.998 1.684 2.016
-3.295 4.247 2.986
Np Ga Pt O
1 2 1 8
Cartesian
0.000 0.000 0.000
-0.809 2.431 5.001
0.762 0.406 3.577
-1.647 2.124 1.493
2.217 1.816 3.080
-1.063 3.282 6.823
-0.642 -1.069 4.029
-2.263 1.020 5.498
1.016 -0.446 1.755
0.596 3.905 4.549
0.603 1.152 5.359
-0.649 1.685 3.219



No. 4
Dy6Cd2C PBE optimized geometry; formation enthalpy at 0 K = -261 meV/atom; symmetry = No. 14
1.0
6.974 0.000 -0.175
0.000 6.967 0.000
0.270 0.000 9.771
Dy Cd C
12 4 2
Cartesian
6.561 0.002 2.337
5.417 5.264 5.100
5.441 5.193 9.295
5.425 1.710 5.100
5.449 1.780 9.295
4.035 3.485 2.287
0.682 6.965 7.260
1.827 1.703 4.497
1.803 1.773 0.301
1.819 5.257 4.497
1.795 5.186 0.302
3.209 3.482 7.309
7.145 3.487 7.138
3.720 0.004 7.256
3.523 6.963 2.340
0.099 3.479 2.458
3.487 3.483 -0.087
0.135 0.000 4.885



No. 5
Dy2PuSc3Te6 PBE optimized geometry; uncorrected formation energy = -1170 meV per atom; symmetry = No. 12
1.0
4.249 0.000 0.000
0.000 8.571 0.292
-2.124 -2.486 8.982
Dy Pu Sc Te
2 1 3 6
Cartesian
2.124 4.061 6.232
0.000 2.024 3.042
2.124 0.000 0.000
2.124 4.286 0.146
2.124 -0.273 6.071
0.000 6.358 3.203
0.000 6.268 6.162
2.124 4.264 3.135
2.124 -0.183 3.112
2.124 -0.229 8.995
0.000 6.314 0.279
0.000 1.821 6.139



No. 6
TcPIr PBE optimized geometry; formation enthalpy at 0 K = -267 meV/atom; energy relative to the lowest polymorph listed for this composition = 92 meV per atom; symmetry = No. 26
1.0
2.865 0.000 0.000
0.000 5.305 0.000
0.000 0.000 5.703
Tc P Ir
2 2 2
Cartesian
0.000 2.075 0.101
0.000 3.231 2.953
1.433 3.750 1.053
1.433 1.555 3.904
1.433 4.717 4.654
1.433 0.588 1.802



no.,M_tot (μB/f.u.),volume (Å³ per atom)
1,4.0,13.29
2,0.0,19.70
3,1.0,11.73
4,0.0,26.39
5,6.1,27.52
6,0.0,14.45